No. 1
Entry from Alexandria: crystalline NpPdAu3 at its relaxed geometry (GGA-PBE).

extended XYZ file:
```
10
Lattice="4.6911 0.0000 0.0000 -0.0003 5.4575 0.0000 -2.3281 -0.0066 8.0002" Properties=species:S:1:pos:R:3 pbc="T T T"
Np 0.0000 0.0000 0.0000
Np 0.0259 2.7349 4.6581
Pd 0.0282 2.1625 7.9291
Pd 2.3601 4.8911 4.7347
Au 0.0108 2.6536 1.5140
Au 0.0140 5.3856 3.1466
Au 0.0161 0.0387 6.1203
Au 2.3560 4.2079 1.9186
Au 2.3601 1.4791 2.7454
Au 2.3726 2.7539 6.5354
```

Computed properties:
M_tot	8.188	Bohr magnetons per cell
energy of formation	-0.131	eV per atom

***

No. 2
Entry from Alexandria: crystalline KHg2W at its relaxed geometry (GGA-PBE).

extended XYZ file:
```
4
Lattice="2.0429 -2.0837 0.0000 2.0429 2.0837 0.0000 0.0000 0.0000 10.8544" Properties=species:S:1:pos:R:3 pbc="T T T"
K 0.0000 0.0000 0.0000
Hg 0.0000 0.0000 5.1515
Hg 2.0429 0.0000 7.9648
W 2.0429 0.0000 2.9591
```

Computed properties:
offset from the most stable computed form	0.1148	eV per atom
M_tot	0.328	Bohr magnetons per cell
energy of formation	0.802	eV per atom

***

No. 3
Entry from Alexandria: crystalline MoWSe2 at its relaxed geometry (GGA-PBE).

extended XYZ file:
```
4
Lattice="3.1503 0.0000 0.0000 0.0000 3.1503 0.0000 0.0000 0.0000 6.3057" Properties=species:S:1:pos:R:3 pbc="T T T"
Mo 0.0000 0.0000 0.0000
W 0.0000 0.0000 3.1528
Se 1.5751 1.5751 1.5793
Se 1.5751 1.5751 4.7264
```

Computed properties:
offset from the most stable computed form	0.4577	eV per atom
M_tot	0.000	Bohr magnetons per cell
energy relative to the elements, uncorrected	0.303	eV per atom

***

No. 4
Entry from Alexandria: crystalline BaAl2Ag2 at its relaxed geometry (GGA-PBE).

extended XYZ file:
```
5
Lattice="-2.2474 2.2474 6.0462 2.2474 -2.2474 6.0462 2.2474 2.2474 -6.0462" Properties=species:S:1:pos:R:3 pbc="T T T"
Ba 0.0000 0.0000 0.0000
Al 2.2474 0.0000 3.0231
Al 0.0000 2.2474 3.0231
Ag 0.0000 0.0000 4.4785
Ag 0.0000 0.0000 7.6139
```

Computed properties:
M_tot	0.000	Bohr magnetons per cell
energy of formation	-0.205	eV per atom

***

No. 5
Entry from Alexandria: crystalline CsLiSb2 at its relaxed geometry (GGA-PBE).

extended XYZ file:
```
8
Lattice="-2.9472 2.9472 9.6817 2.9472 -2.9472 9.6817 2.9472 2.9472 -9.6817" Properties=species:S:1:pos:R:3 pbc="T T T"
Cs 2.9472 1.4736 2.4204
Cs 0.0000 1.4736 7.2613
Li 2.9472 -1.4736 7.2613
Li 0.0000 4.4208 2.4204
Sb 0.0000 0.0000 0.0000
Sb 1.4736 1.4736 -4.8408
Sb 1.4736 -1.4736 4.8408
Sb 0.0000 2.9472 0.0000
```

Computed properties:
offset from the most stable computed form	0.0000	eV per atom
M_tot	0.000	Bohr magnetons per cell
energy relative to the elements, uncorrected	-0.264	eV per atom

***

No. 6
Entry from Alexandria: crystalline LaTbPm4Ho2 at its relaxed geometry (GGA-PBE).

extended XYZ file:
```
8
Lattice="6.2539 0.0000 0.0000 0.0000 3.6333 0.0000 -2.1256 0.0000 11.8128" Properties=species:S:1:pos:R:3 pbc="T T T"
La 0.0000 0.0000 0.0000
Tb 3.1269 1.8167 0.0000
Pm 1.0242 1.8167 3.0092
Pm -0.0209 0.0000 8.8248
Pm 4.1491 0.0000 2.9880
Pm 3.1040 1.8167 8.8036
Ho -1.0628 1.8167 5.9064
Ho 2.0641 0.0000 5.9064
```

Computed properties:
M_tot	0.000	Bohr magnetons per cell
energy of formation	0.019	eV per atom

***

No. 7
Entry from Alexandria: crystalline BeZnOs2 at its relaxed geometry (GGA-PBE).

extended XYZ file:
```
4
Lattice="1.4216 -2.2560 0.0000 1.4216 2.2560 0.0000 0.0000 0.0000 8.1818" Properties=species:S:1:pos:R:3 pbc="T T T"
Be 0.0000 0.0000 0.0000
Zn 0.0000 0.0000 4.0909
Os 1.4216 0.0000 1.8617
Os 1.4216 0.0000 6.3201
```

Computed properties:
M_tot	0.000	Bohr magnetons per cell
energy of formation	0.202	eV per atom

***

No. 8
Entry from Alexandria: crystalline LiCe2Mg at its relaxed geometry (GGA-PBE).

extended XYZ file:
```
4
Lattice="1.5173 0.8760 12.2891 -1.5173 0.8760 12.2891 0.0000 -1.7520 12.2891" Properties=species:S:1:pos:R:3 pbc="T T T"
Li 0.0000 0.0000 0.0000
Ce 0.0000 0.0000 3.1671
Ce 0.0000 0.0000 33.7003
Mg 0.0000 0.0000 18.4337
```

Computed properties:
offset from the most stable computed form	0.0000	eV per atom
M_tot	0.000	Bohr magnetons per cell
energy of formation	0.127	eV per atom